# 1
A plane-wave DFT calculation with PBE was carried out for a relaxed structure of KPaCuS3.

Geometry as CIF:
```
data_KPaCuS3
_chemical_formula_sum 'K4 Pa4 Cu4 S12'
_symmetry_space_group_name_H-M 'C m c m'
_symmetry_Int_Tables_number 63
_symmetry_space_group_name_Hall '-C 2c 2'
_cell_length_a 3.9734
_cell_length_b 14.2461
_cell_length_c 10.3792
_cell_angle_alpha 90.00
_cell_angle_beta 90.00
_cell_angle_gamma 90.00
loop_
_atom_site_label
_atom_site_type_symbol
_atom_site_fract_x
_atom_site_fract_y
_atom_site_fract_z
K1 K 0.0000 0.2446 0.2500
Pa1 Pa 0.0000 0.5000 0.0000
Cu1 Cu 0.0000 0.0313 0.7500
S1 S 0.0000 0.1226 0.5657
S2 S 0.0000 0.4370 0.7500
```

Properties
M_tot = 1.01 μB per formula unit
Raw formation energy = -7.85 eV per formula unit
Crystal system = orthorhombic



# 2
A plane-wave DFT calculation with PBE was carried out for a relaxed structure of K2Pa2CuS6.

Geometry as CIF:
```
data_K2Pa2CuS6
_chemical_formula_sum 'K4 Pa4 Cu2 S12'
_symmetry_space_group_name_H-M 'C 1 2/m 1'
_symmetry_Int_Tables_number 12
_cell_length_a 6.6004
_cell_length_b 12.9255
_cell_length_c 7.7154
_cell_angle_alpha 90.00
_cell_angle_beta 104.03
_cell_angle_gamma 90.00
loop_
_symmetry_equiv_pos_as_xyz
'x,y,z'
'-x,-y,-z'
'-x,y,-z'
'x,-y,z'
'x+1/2,y+1/2,z'
'-x+1/2,-y+1/2,-z'
'-x+1/2,y+1/2,-z'
'x+1/2,-y+1/2,z'
loop_
_atom_site_label
_atom_site_type_symbol
_atom_site_fract_x
_atom_site_fract_y
_atom_site_fract_z
K1 K 0.0000 0.1463 0.0000
Pa1 Pa 0.0000 0.3388 0.5000
Cu1 Cu 0.0000 0.0000 0.5000
S1 S 0.2442 0.0000 0.3403
S2 S 0.2446 0.1981 0.7075
```

Properties
M_tot = 1.07 μB per formula unit
Raw formation energy = -14.76 eV per formula unit
Crystal system = monoclinic



# 3
A plane-wave DFT calculation with PBE was carried out for a relaxed structure of KPa2Cu2Se6.

Geometry as CIF:
```
data_KPa2Cu2Se6
_chemical_formula_sum 'K1 Pa2 Cu2 Se6'
_symmetry_space_group_name_H-M 'P -1'
_symmetry_Int_Tables_number 2
_cell_length_a 7.4371
_cell_length_b 7.5976
_cell_length_c 7.6354
_cell_angle_alpha 62.71
_cell_angle_beta 62.40
_cell_angle_gamma 60.75
loop_
_symmetry_equiv_pos_as_xyz
'x,y,z'
'-x,-y,-z'
loop_
_atom_site_label
_atom_site_type_symbol
_atom_site_fract_x
_atom_site_fract_y
_atom_site_fract_z
K1 K 0.0000 0.0000 0.0000
Pa1 Pa 0.3316 0.3336 0.0002
Cu1 Cu 0.4518 0.6664 0.5607
Se1 Se 0.0835 0.6927 0.7545
Se2 Se 0.2982 0.5485 0.2454
Se3 Se 0.4626 0.0731 0.7564
```

Properties
M_tot = 1.11 μB per formula unit
Raw formation energy = -11.14 eV per formula unit
Crystal system = triclinic



# 4
A plane-wave DFT calculation with PBE was carried out for a relaxed structure of K2PaCuSe5.

Geometry as CIF:
```
data_K2PaCuSe5
_chemical_formula_sum 'K8 Pa4 Cu4 Se20'
_symmetry_space_group_name_H-M 'C m c 21'
_symmetry_Int_Tables_number 36
_cell_length_a 4.1884
_cell_length_b 20.3621
_cell_length_c 13.6199
_cell_angle_alpha 90.00
_cell_angle_beta 90.00
_cell_angle_gamma 90.00
loop_
_symmetry_equiv_pos_as_xyz
'x,y,z'
'-x,-y,z+1/2'
'-x,y,z'
'x,-y,z+1/2'
'x+1/2,y+1/2,z'
'-x+1/2,-y+1/2,z+1/2'
'-x+1/2,y+1/2,z'
'x+1/2,-y+1/2,z+1/2'
loop_
_atom_site_label
_atom_site_type_symbol
_atom_site_fract_x
_atom_site_fract_y
_atom_site_fract_z
K1 K 0.0000 0.1210 0.0000
K2 K 0.0000 0.1263 0.3532
Pa1 Pa 0.0000 0.2044 0.6764
Cu1 Cu 0.0000 0.4127 0.0657
Se1 Se 0.0000 0.0647 0.6463
Se2 Se 0.0000 0.2942 0.0356
Se3 Se 0.0000 0.3118 0.3109
Se4 Se 0.0000 0.3339 0.6788
Se5 Se 0.0000 0.4948 0.9505
```

Properties
M_tot = 0.68 μB per formula unit
Raw formation energy = -8.47 eV per formula unit
Crystal system = orthorhombic



# 5
A plane-wave DFT calculation with PBE was carried out for a relaxed structure of K2PaCu2Se6.

Geometry as CIF:
```
data_K2PaCu2Se6
_chemical_formula_sum 'K4 Pa2 Cu4 Se12'
_symmetry_space_group_name_H-M 'C 1 2/m 1'
_symmetry_Int_Tables_number 12
_cell_length_a 13.8807
_cell_length_b 6.0023
_cell_length_c 9.1559
_cell_angle_alpha 90.00
_cell_angle_beta 119.97
_cell_angle_gamma 90.00
loop_
_symmetry_equiv_pos_as_xyz
'x,y,z'
'-x,-y,-z'
'-x,y,-z'
'x,-y,z'
'x+1/2,y+1/2,z'
'-x+1/2,-y+1/2,-z'
'-x+1/2,y+1/2,-z'
'x+1/2,-y+1/2,z'
loop_
_atom_site_label
_atom_site_type_symbol
_atom_site_fract_x
_atom_site_fract_y
_atom_site_fract_z
K1 K 0.1996 0.0000 0.1960
Pa1 Pa 0.0000 0.0000 0.5000
Cu1 Cu 0.0959 0.5000 0.3063
Se1 Se 0.0542 0.2499 0.7957
Se2 Se 0.2174 0.0000 0.6000
```

Properties
M_tot = 0.00 μB per formula unit
Raw formation energy = -8.27 eV per formula unit
Crystal system = monoclinic



# 6
A plane-wave DFT calculation with PBE was carried out for a relaxed structure of K3PaCu2Se6.

Geometry as CIF:
```
data_K3PaCu2Se6
_chemical_formula_sum 'K6 Pa2 Cu4 Se12'
_symmetry_space_group_name_H-M 'C 1 2/m 1'
_symmetry_Int_Tables_number 12
_cell_length_a 6.4394
_cell_length_b 14.8570
_cell_length_c 7.8650
_cell_angle_alpha 90.00
_cell_angle_beta 111.26
_cell_angle_gamma 90.00
loop_
_symmetry_equiv_pos_as_xyz
'x,y,z'
'-x,-y,-z'
'-x,y,-z'
'x,-y,z'
'x+1/2,y+1/2,z'
'-x+1/2,-y+1/2,-z'
'-x+1/2,y+1/2,-z'
'x+1/2,-y+1/2,z'
loop_
_atom_site_label
_atom_site_type_symbol
_atom_site_fract_x
_atom_site_fract_y
_atom_site_fract_z
K1 K 0.0000 0.0000 0.0000
K2 K 0.0000 0.3190 0.0000
Pa1 Pa 0.0000 0.5000 0.5000
Cu1 Cu 0.0000 0.0914 0.5000
Se1 Se 0.2148 0.5000 0.2518
Se2 Se 0.2173 0.1429 0.3239
```

Properties
M_tot = 0.00 μB per formula unit
Raw formation energy = -10.29 eV per formula unit
Crystal system = monoclinic



# 7
A plane-wave DFT calculation with PBE was carried out for a relaxed structure of KPa2Cu2Te6.

Geometry as CIF:
```
data_KPa2Cu2Te6
_chemical_formula_sum 'K1 Pa2 Cu2 Te6'
_symmetry_space_group_name_H-M 'P -1'
_symmetry_Int_Tables_number 2
_cell_length_a 7.9179
_cell_length_b 8.0138
_cell_length_c 8.1532
_cell_angle_alpha 62.60
_cell_angle_beta 62.89
_cell_angle_gamma 60.77
loop_
_symmetry_equiv_pos_as_xyz
'x,y,z'
'-x,-y,-z'
loop_
_atom_site_label
_atom_site_type_symbol
_atom_site_fract_x
_atom_site_fract_y
_atom_site_fract_z
K1 K 0.0000 0.0000 0.0000
Pa1 Pa 0.3340 0.3385 0.9888
Cu1 Cu 0.4477 0.6537 0.5618
Te1 Te 0.0737 0.7044 0.7444
Te2 Te 0.2903 0.5458 0.2536
Te3 Te 0.4644 0.0705 0.7485
```

Properties
M_tot = 1.11 μB per formula unit
Raw formation energy = -6.78 eV per formula unit
Crystal system = triclinic



# 8
A plane-wave DFT calculation with PBE was carried out for a relaxed structure of KPaCuTe4.

Geometry as CIF:
```
data_KPaCuTe4
_chemical_formula_sum 'K4 Pa4 Cu4 Te16'
_symmetry_space_group_name_H-M 'C m c m'
_symmetry_Int_Tables_number 63
_symmetry_space_group_name_Hall '-C 2c 2'
_cell_length_a 6.6562
_cell_length_b 20.1821
_cell_length_c 7.9605
_cell_angle_alpha 90.00
_cell_angle_beta 90.00
_cell_angle_gamma 90.00
loop_
_atom_site_label
_atom_site_type_symbol
_atom_site_fract_x
_atom_site_fract_y
_atom_site_fract_z
K1 K 0.0000 0.0962 0.2500
Pa1 Pa 0.0000 0.3259 0.2500
Cu1 Cu 0.0000 0.2000 0.7500
Te1 Te 0.0000 0.0768 0.7500
Te2 Te 0.0000 0.4670 0.2500
Te3 Te 0.2500 0.2500 0.0000
```

Properties
M_tot = 0.35 μB per formula unit
Raw formation energy = -3.10 eV per formula unit
Crystal system = orthorhombic



# 9
A plane-wave DFT calculation with PBE was carried out for a relaxed structure of KPaCu2Te4.

Geometry as CIF:
```
data_KPaCu2Te4
_chemical_formula_sum 'K2 Pa2 Cu4 Te8'
_symmetry_space_group_name_H-M 'I 2 2 2'
_symmetry_Int_Tables_number 23
_cell_length_a 7.0490
_cell_length_b 8.4728
_cell_length_c 8.8657
_cell_angle_alpha 90.00
_cell_angle_beta 90.00
_cell_angle_gamma 90.00
loop_
_symmetry_equiv_pos_as_xyz
'x,y,z'
'-x,-y,z'
'x,-y,-z'
'-x,y,-z'
'x+1/2,y+1/2,z+1/2'
'-x+1/2,-y+1/2,z+1/2'
'x+1/2,-y+1/2,-z+1/2'
'-x+1/2,y+1/2,-z+1/2'
loop_
_atom_site_label
_atom_site_type_symbol
_atom_site_fract_x
_atom_site_fract_y
_atom_site_fract_z
K1 K 0.0000 0.0000 0.0000
Pa1 Pa 0.0000 0.0000 0.5000
Cu1 Cu 0.0000 0.5000 0.1385
Te1 Te 0.2419 0.1955 0.3063
```

Properties
M_tot = 0.16 μB per formula unit
Raw formation energy = -3.05 eV per formula unit
Crystal system = orthorhombic



# 10
A plane-wave DFT calculation with PBE was carried out for a relaxed structure of K3Pa3CuTe8.

Geometry as CIF:
```
data_K3Pa3CuTe8
_chemical_formula_sum 'K6 Pa6 Cu2 Te16'
_symmetry_space_group_name_H-M 'C 1 2/m 1'
_symmetry_Int_Tables_number 12
_cell_length_a 14.6221
_cell_length_b 9.2401
_cell_length_c 9.4706
_cell_angle_alpha 90.00
_cell_angle_beta 117.98
_cell_angle_gamma 90.00
loop_
_symmetry_equiv_pos_as_xyz
'x,y,z'
'-x,-y,-z'
'-x,y,-z'
'x,-y,z'
'x+1/2,y+1/2,z'
'-x+1/2,-y+1/2,-z'
'-x+1/2,y+1/2,-z'
'x+1/2,-y+1/2,z'
loop_
_atom_site_label
_atom_site_type_symbol
_atom_site_fract_x
_atom_site_fract_y
_atom_site_fract_z
K1 K 0.0000 0.0000 0.0000
K2 K 0.2500 0.2500 0.0000
Pa1 Pa 0.0000 0.5000 0.5000
Pa2 Pa 0.2500 0.2500 0.5000
Cu1 Cu 0.0000 0.0000 0.5000
Te1 Te 0.0203 0.2728 0.2822
Te2 Te 0.1998 0.0000 0.6774
Te3 Te 0.2390 0.5000 0.7142
```

Properties
M_tot = 3.01 μB per formula unit
Raw formation energy = -11.92 eV per formula unit
Crystal system = monoclinic



# 11
A plane-wave DFT calculation with PBE was carried out for a relaxed structure of K2PaCuTe5.

Geometry as CIF:
```
data_K2PaCuTe5
_chemical_formula_sum 'K8 Pa4 Cu4 Te20'
_symmetry_space_group_name_H-M 'C m c 21'
_symmetry_Int_Tables_number 36
_cell_length_a 4.4874
_cell_length_b 19.1602
_cell_length_c 15.0792
_cell_angle_alpha 90.00
_cell_angle_beta 90.00
_cell_angle_gamma 90.00
loop_
_symmetry_equiv_pos_as_xyz
'x,y,z'
'-x,-y,z+1/2'
'-x,y,z'
'x,-y,z+1/2'
'x+1/2,y+1/2,z'
'-x+1/2,-y+1/2,z+1/2'
'-x+1/2,y+1/2,z'
'x+1/2,-y+1/2,z+1/2'
loop_
_atom_site_label
_atom_site_type_symbol
_atom_site_fract_x
_atom_site_fract_y
_atom_site_fract_z
K1 K 0.0000 0.1299 0.0000
K2 K 0.0000 0.1446 0.6728
Pa1 Pa 0.0000 0.1402 0.3294
Cu1 Cu 0.0000 0.4801 0.7408
Te1 Te 0.0000 0.0119 0.8261
Te2 Te 0.0000 0.2896 0.3471
Te3 Te 0.0000 0.3493 0.6901
Te4 Te 0.0000 0.3597 0.9782
Te5 Te 0.0000 0.4922 0.0704
```

Properties
M_tot = 0.15 μB per formula unit
Raw formation energy = -6.28 eV per formula unit
Crystal system = orthorhombic



# 12
A plane-wave DFT calculation with PBE was carried out for a relaxed structure of K3PaCu2Te6.

Geometry as CIF:
```
data_K3PaCu2Te6
_chemical_formula_sum 'K6 Pa2 Cu4 Te12'
_symmetry_space_group_name_H-M 'C 1 2/m 1'
_symmetry_Int_Tables_number 12
_cell_length_a 6.4787
_cell_length_b 16.4135
_cell_length_c 8.2398
_cell_angle_alpha 90.00
_cell_angle_beta 109.55
_cell_angle_gamma 90.00
loop_
_symmetry_equiv_pos_as_xyz
'x,y,z'
'-x,-y,-z'
'-x,y,-z'
'x,-y,z'
'x+1/2,y+1/2,z'
'-x+1/2,-y+1/2,-z'
'-x+1/2,y+1/2,-z'
'x+1/2,-y+1/2,z'
loop_
_atom_site_label
_atom_site_type_symbol
_atom_site_fract_x
_atom_site_fract_y
_atom_site_fract_z
K1 K 0.0000 0.0000 0.0000
K2 K 0.0000 0.3177 0.0000
Pa1 Pa 0.0000 0.0000 0.5000
Cu1 Cu 0.0000 0.4191 0.5000
Te1 Te 0.0501 0.5000 0.2374
Te2 Te 0.1254 0.1482 0.3288
```

Properties
M_tot = 0.00 μB per formula unit
Raw formation energy = -7.41 eV per formula unit
Crystal system = monoclinic